Computed, not measured: a relaxed structure of Th6HgC4 at the PBE level of DFT.

Cell lengths 3.8054, 6.6416, 20.2454 Å; angles 90.00, 90.00, 106.65 degrees
With the nearest neighbours (Å) after each atom.
Fractional positions:
Th (0.0407, 0.0814, 0.3534)  3 C 2.52-2.55
Th (0.9593, 0.9186, 0.6466)  3 C 2.52-2.55
Th (0.5000, 0.0000, 0.0000)  6 C 2.72-2.74
Th (0.5000, 0.0000, 0.5000)  6 C 2.72-2.74
Th (0.7757, 0.5514, 0.4223)  5 C 2.56-2.77
Th (0.6376, 0.2752, 0.7500)  2 C 2.65
Th (0.9593, 0.9186, 0.8534)  3 C 2.52-2.55
Th (0.3624, 0.7248, 0.2500)  2 C 2.65
Th (0.0407, 0.0814, 0.1466)  3 C 2.52-2.55
Th (0.2243, 0.4486, 0.9223)  5 C 2.56-2.77
Th (0.7757, 0.5514, 0.0777)  5 C 2.56-2.77
Th (0.2243, 0.4486, 0.5777)  5 C 2.56-2.77
C (0.4164, 0.8327, 0.3766)  6 Th 2.52-2.77
C (0.1428, 0.2855, 0.0381)  6 Th 2.55-2.74
C (0.4164, 0.8327, 0.1234)  6 Th 2.52-2.77
C (0.8572, 0.7145, 0.9619)  6 Th 2.55-2.74
C (0.5836, 0.1673, 0.8766)  6 Th 2.52-2.77
C (0.8572, 0.7145, 0.5381)  6 Th 2.55-2.74
C (0.5836, 0.1673, 0.6234)  6 Th 2.52-2.77
C (0.1428, 0.2855, 0.4619)  6 Th 2.55-2.74
Hg (0.6654, 0.3307, 0.2500)  6 Th 3.15-3.24
Hg (0.3346, 0.6693, 0.7500)  6 Th 3.15-3.24

Values from the calculation:
M_tot ... 0.0000 μB/atom
DOS at the Fermi energy ... 7.28 states/eV/f.u.
Energy of formation ... -0.296 eV per atom



Computed, not measured: a relaxed structure of LaScAl at the PBE level of DFT.

Cell lengths 5.0471, 5.0471, 5.0471 Å; angles 60.00, 60.00, 60.00 degrees
With the nearest neighbours (Å) after each atom.
Fractional positions:
La (0.7500, 0.7500, 0.7500)  4 Sc 3.09, 4 Al 3.09
Al (0.5000, 0.5000, 0.5000)  4 La 3.09
Sc (0.0000, 0.0000, 0.0000)  4 La 3.09

Values from the calculation:
M_tot ... 0.0000 μB/atom
DOS at the Fermi energy ... 3.51 states/eV/f.u.
Energy above the lowest structure with this stoichiometry ... 789 meV/atom
Energy of formation ... 0.554 eV per atom